1.
## PuInAg3 (PBE)

Data for a relaxed structure of PuInAg3.

density: 10.9 g/cm3
ΔH_f (0 K): 4.228 kcal/mol of atoms
crystal system: monoclinic
ΔE to the lowest computed polymorph: 220.1 meV/atom
space-group type: P2_1/m
total DFT energy (no corrections): -4.94 eV/atom

Cell: 7.6850 3.1708 8.5862 Å, 90.00 95.44 90.00°
Closest atoms and distances in Å follow each position.
Fractional positions:
1 Pu 0.0127 0.2500 0.0971  2 Pu 2.30
2 Pu 0.9873 0.7500 0.9029  2 Pu 2.30
3 In 0.2842 0.7500 0.3782  7 Ag 2.88-3.06, 2 In 3.17
4 In 0.7158 0.2500 0.6218  7 Ag 2.88-3.06, 2 In 3.17
5 Ag 0.1065 0.2500 0.6155  6 Ag 2.85-3.17, 3 In 3.01, 2 Pu 3.14
6 Ag 0.3689 0.7500 0.0583  5 Ag 2.82-2.94, 1 In 2.88, 1 Pu 3.10
7 Ag 0.4033 0.7500 0.7203  7 Ag 2.85-3.17, 3 In 2.99-3.06
8 Ag 0.5967 0.2500 0.2797  7 Ag 2.85-3.17, 3 In 2.99-3.06
9 Ag 0.6311 0.2500 0.9417  5 Ag 2.82-2.94, 1 In 2.88, 1 Pu 3.10
10 Ag 0.8935 0.7500 0.3845  6 Ag 2.85-3.17, 3 In 3.01, 2 Pu 3.14



2.
## PuInAg (PBE)

Data for a relaxed structure of PuInAg.

density: 11.0 g/cm3
ΔH_f (0 K): -0.697 kcal/mol of atoms
crystal system: orthorhombic
space-group type: Imm2
total DFT energy (no corrections): -6.67 eV/atom

Cell: 3.0081 4.5288 10.3224 Å, 90.00 90.00 90.00°
Closest atoms and distances in Å follow each position.
Fractional positions:
1 Pu 0.0000 0.0000 0.0000  2 Pu 3.01, 5 Ag 3.29-3.31, 5 In 3.29-3.30
2 Pu 0.5000 0.5000 0.5000  2 Pu 3.01, 5 Ag 3.29-3.31, 5 In 3.29-3.30
3 In 0.0000 0.0000 0.6799  2 In 3.01, 4 Ag 3.08, 5 Pu 3.29-3.30
4 In 0.5000 0.5000 0.1799  2 In 3.01, 4 Ag 3.08, 5 Pu 3.29-3.30
5 Ag 0.0000 0.0000 0.3204  2 Ag 3.01, 4 In 3.08, 5 Pu 3.29-3.31
6 Ag 0.5000 0.5000 0.8204  2 Ag 3.01, 4 In 3.08, 5 Pu 3.29-3.31



3.
## Pu3In4Ag4 (PBE)

Data for a relaxed structure of Pu3In4Ag4.

density: 10.3 g/cm3
ΔH_f (0 K): -0.463 kcal/mol of atoms
crystal system: orthorhombic
space-group type: Amm2
total DFT energy (no corrections): -5.96 eV/atom

Cell: 9.3159 6.0311 6.0311 Å, 50.57 90.00 90.00°
Closest atoms and distances in Å follow each position.
Fractional positions:
1 Pu 0.0000 0.0000 0.0000  2 Pu 3.15, 6 Ag 3.19-3.31, 5 In 3.21-3.37
2 Pu 0.2977 0.1371 0.1371  1 Pu 3.15, 4 Ag 3.18-3.19, 5 In 3.26-3.37
3 Pu 0.7023 0.1371 0.1371  1 Pu 3.15, 4 Ag 3.18-3.19, 5 In 3.26-3.37
4 In 0.0000 0.3007 0.3007  4 Ag 2.84-2.93
5 In 0.2800 0.8287 0.8287  4 Ag 2.87-3.11, 1 Pu 3.21
6 In 0.5000 0.3814 0.3814  3 Ag 2.80-2.87
7 In 0.7200 0.8287 0.8287  4 Ag 2.87-3.11, 1 Pu 3.21
8 Ag 0.0000 0.6733 0.6733  4 In 2.93-3.11, 2 Ag 2.96, 2 Pu 3.19
9 Ag 0.2217 0.4794 0.4794  4 In 2.80-3.10, 1 Ag 2.96
10 Ag 0.5000 0.6442 0.6442  3 In 2.87, 2 Ag 3.16, 4 Pu 3.19
11 Ag 0.7783 0.4794 0.4794  4 In 2.80-3.10, 1 Ag 2.96



4.
## PuIn3Ag (PBE)

Data for a relaxed structure of PuIn3Ag.

density: 9.2 g/cm3
ΔH_f (0 K): 1.160 kcal/mol of atoms
crystal system: monoclinic
space-group type: P2/m
total DFT energy (no corrections): -5.03 eV/atom

Cell: 5.8571 3.0959 13.9266 Å, 90.00 90.16 90.00°
Closest atoms and distances in Å follow each position.
Fractional positions:
1 Pu 0.2497 0.0000 0.2129  2 Pu 3.10, 5 In 3.17-3.45, 4 Ag 3.39
2 Pu 0.7503 0.0000 0.7871  2 Pu 3.10, 5 In 3.17-3.45, 4 Ag 3.39
3 In 0.0000 0.0000 0.0000  4 In 2.93-3.10, 4 Ag 3.09
4 In 0.2500 0.0000 0.4408  7 In 3.02-3.36, 1 Pu 3.17
5 In 0.2508 0.0000 0.6575  2 Ag 2.97, 5 In 3.02-3.23
6 In 0.5000 0.0000 0.0000  4 In 2.93-3.10, 4 Ag 3.09
7 In 0.7492 0.0000 0.3425  2 Ag 2.97, 5 In 3.02-3.23
8 In 0.7500 0.0000 0.5592  7 In 3.02-3.36, 1 Pu 3.17
9 Ag 0.2502 0.5000 0.8394  6 In 2.97-3.09, 2 Ag 3.10
10 Ag 0.7498 0.5000 0.1606  6 In 2.97-3.09, 2 Ag 3.10



What did we get for total magnetization? Answer: 0.00, 6.17, 17.85, 6.39 μB per formula unit, in the order shown.